TbNdGdEr, relaxed, DFT PBE; E_form = 0.114 eV/atom; symmetry = F-43m
1.0
0.000 4.034 4.034
4.034 0.000 4.034
4.034 4.034 0.000
Tb Nd Gd Er
1 1 1 1
direct
0.000 0.000 0.000 Tb
0.250 0.250 0.250 Nd
0.750 0.750 0.750 Gd
0.500 0.500 0.500 Er